Record 1
# UAlSn | Alexandria | GGA-PBE | relaxed
data_UAlSn
_symmetry_space_group_name_H-M 'P 1'
_symmetry_Int_Tables_number 1
_cell_length_a 3.930
_cell_length_b 6.361
_cell_length_c 10.116
_cell_angle_alpha 90.00
_cell_angle_beta 90.00
_cell_angle_gamma 90.00
loop_
_symmetry_equiv_pos_as_xyz
'x,y,z'
loop_
_atom_site_label
_atom_site_type_symbol
_atom_site_fract_x
_atom_site_fract_y
_atom_site_fract_z
U1 U 0.750 0.920 0.935
U2 U 0.250 0.580 0.435
U3 U 0.250 0.080 0.065
U4 U 0.750 0.420 0.565
Al1 Al 0.750 0.332 0.254
Al2 Al 0.250 0.168 0.754
Al3 Al 0.250 0.668 0.746
Al4 Al 0.750 0.832 0.246
Sn1 Sn 0.750 0.410 0.897
Sn2 Sn 0.250 0.090 0.397
Sn3 Sn 0.250 0.590 0.103
Sn4 Sn 0.750 0.910 0.603
# Calculated volume (Å³ per cell): 252.9
# Crystal system: orthorhombic
# Total moment (Bohr magnetons per cell): 2.6
# Space-group type: Pnma (62)
# Energy of formation from the pure elements (eV/atom): -0.098



Record 2
# RbAgPb2Cl7 | Alexandria | GGA-PBE | relaxed
data_RbAgPb2Cl7
_symmetry_space_group_name_H-M 'P 1'
_symmetry_Int_Tables_number 1
_cell_length_a 5.521
_cell_length_b 5.521
_cell_length_c 12.192
_cell_angle_alpha 103.09
_cell_angle_beta 103.09
_cell_angle_gamma 90.00
loop_
_symmetry_equiv_pos_as_xyz
'x,y,z'
loop_
_atom_site_label
_atom_site_type_symbol
_atom_site_fract_x
_atom_site_fract_y
_atom_site_fract_z
Rb1 Rb 0.500 0.500 0.000
Ag1 Ag 0.250 0.750 0.500
Pb1 Pb 0.876 0.876 0.751
Pb2 Pb 0.124 0.124 0.249
Cl1 Cl 0.125 0.625 0.249
Cl2 Cl 0.000 0.000 0.000
Cl3 Cl 0.375 0.875 0.751
Cl4 Cl 0.755 0.755 0.510
Cl5 Cl 0.602 0.102 0.205
Cl6 Cl 0.245 0.245 0.490
Cl7 Cl 0.898 0.398 0.795
# Raw formation energy (eV per atom): -1.04
# Calculated volume (Å³ per cell): 352.0
# Crystal system: tetragonal
# Total moment (Bohr magnetons per cell): 0.0
# Space-group type: I-4m2 (119)



Record 3
# Dy2Si2Pd3 | Alexandria | GGA-PBE | relaxed
data_Dy2Si2Pd3
_symmetry_space_group_name_H-M 'P 1'
_symmetry_Int_Tables_number 1
_cell_length_a 3.888
_cell_length_b 5.505
_cell_length_c 7.010
_cell_angle_alpha 112.85
_cell_angle_beta 90.00
_cell_angle_gamma 110.68
loop_
_symmetry_equiv_pos_as_xyz
'x,y,z'
loop_
_atom_site_label
_atom_site_type_symbol
_atom_site_fract_x
_atom_site_fract_y
_atom_site_fract_z
Dy1 Dy 0.867 0.734 0.229
Dy2 Dy 0.133 0.266 0.771
Si1 Si 0.848 0.695 0.780
Si2 Si 0.152 0.305 0.220
Pd1 Pd 0.500 0.000 0.000
Pd2 Pd 0.628 0.255 0.436
Pd3 Pd 0.372 0.745 0.564
# Raw formation energy (eV per atom): -0.93
# Calculated volume (Å³ per cell): 127.7
# Crystal system: monoclinic
# Total moment (Bohr magnetons per cell): 0.0
# Space-group type: C2/m (12)



Record 4
# SrHoTe2 | Alexandria | GGA-PBE | relaxed
data_SrHoTe2
_symmetry_space_group_name_H-M 'P 1'
_symmetry_Int_Tables_number 1
_cell_length_a 4.773
_cell_length_b 4.773
_cell_length_c 9.774
_cell_angle_alpha 75.87
_cell_angle_beta 75.87
_cell_angle_gamma 60.00
loop_
_symmetry_equiv_pos_as_xyz
'x,y,z'
loop_
_atom_site_label
_atom_site_type_symbol
_atom_site_fract_x
_atom_site_fract_y
_atom_site_fract_z
Sr1 Sr 0.500 0.500 0.500
Te1 Te 0.101 0.101 0.697
Te2 Te 0.899 0.899 0.303
Ho1 Ho 0.000 0.000 0.000
# Raw formation energy (eV per atom): -0.84
# Calculated volume (Å³ per cell): 185.0
# Crystal system: trigonal
# Total moment (Bohr magnetons per cell): 0.2
# Space-group type: R-3m (166)



Record 5
# Li2NdIn | Alexandria | GGA-PBE | relaxed
data_Li2NdIn
_symmetry_space_group_name_H-M 'P 1'
_symmetry_Int_Tables_number 1
_cell_length_a 3.676
_cell_length_b 3.676
_cell_length_c 6.942
_cell_angle_alpha 90.00
_cell_angle_beta 90.00
_cell_angle_gamma 90.00
loop_
_symmetry_equiv_pos_as_xyz
'x,y,z'
loop_
_atom_site_label
_atom_site_type_symbol
_atom_site_fract_x
_atom_site_fract_y
_atom_site_fract_z
Li1 Li 0.000 0.000 0.799
Li2 Li 0.000 0.000 0.201
Nd1 Nd 0.500 0.500 0.500
In1 In 0.500 0.500 0.000
# Calculated volume (Å³ per cell): 93.8
# Crystal system: tetragonal
# Total moment (Bohr magnetons per cell): 0.2
# Space-group type: P4/mmm (123)
# Energy of formation from the pure elements (eV/atom): -0.103



Record 6
# TeIrCN2 | Alexandria | GGA-PBE | relaxed
data_TeIrCN2
_symmetry_space_group_name_H-M 'P 1'
_symmetry_Int_Tables_number 1
_cell_length_a 3.750
_cell_length_b 3.750
_cell_length_c 4.309
_cell_angle_alpha 90.00
_cell_angle_beta 90.00
_cell_angle_gamma 90.00
loop_
_symmetry_equiv_pos_as_xyz
'x,y,z'
loop_
_atom_site_label
_atom_site_type_symbol
_atom_site_fract_x
_atom_site_fract_y
_atom_site_fract_z
C1 C 0.000 0.000 0.000
Ir1 Ir 0.500 0.500 0.500
Te1 Te 0.000 0.000 0.500
N1 N 0.000 0.500 0.000
N2 N 0.500 0.000 0.000
# Raw formation energy (eV per atom): 2.52
# Calculated volume (Å³ per cell): 60.6
# Crystal system: tetragonal
# Total moment (Bohr magnetons per cell): 0.0
# Space-group type: P4/mmm (123)



Record 7
# Cu2PPb | Alexandria | GGA-PBE | relaxed
data_Cu2PPb
_symmetry_space_group_name_H-M 'P 1'
_symmetry_Int_Tables_number 1
_cell_length_a 4.682
_cell_length_b 4.682
_cell_length_c 4.682
_cell_angle_alpha 60.00
_cell_angle_beta 60.00
_cell_angle_gamma 60.00
loop_
_symmetry_equiv_pos_as_xyz
'x,y,z'
loop_
_atom_site_label
_atom_site_type_symbol
_atom_site_fract_x
_atom_site_fract_y
_atom_site_fract_z
Cu1 Cu 0.000 0.000 0.000
Cu2 Cu 0.750 0.750 0.750
P1 P 0.500 0.500 0.500
Pb1 Pb 0.250 0.250 0.250
# Calculated volume (Å³ per cell): 72.6
# Crystal system: cubic
# Total moment (Bohr magnetons per cell): 0.0
# Space-group type: F-43m (216)
# Energy of formation from the pure elements (eV/atom): 0.520



Record 8
# CaP2 | Alexandria | GGA-PBE | relaxed
data_CaP2
_symmetry_space_group_name_H-M 'P 1'
_symmetry_Int_Tables_number 1
_cell_length_a 4.801
_cell_length_b 4.801
_cell_length_c 8.365
_cell_angle_alpha 86.83
_cell_angle_beta 86.83
_cell_angle_gamma 41.81
loop_
_symmetry_equiv_pos_as_xyz
'x,y,z'
loop_
_atom_site_label
_atom_site_type_symbol
_atom_site_fract_x
_atom_site_fract_y
_atom_site_fract_z
Ca1 Ca 0.060 0.060 0.754
Ca2 Ca 0.940 0.940 0.246
P1 P 0.668 0.668 0.025
P2 P 0.218 0.218 0.422
P3 P 0.782 0.782 0.578
P4 P 0.332 0.332 0.975
# Calculated volume (Å³ per cell): 128.3
# Crystal system: monoclinic
# Total moment (Bohr magnetons per cell): 0.0
# Space-group type: C2/m (12)
# Energy of formation from the pure elements (eV/atom): -0.615



Record 9
# CdCoPt2 | Alexandria | GGA-PBE | relaxed
data_CdCoPt2
_symmetry_space_group_name_H-M 'P 1'
_symmetry_Int_Tables_number 1
_cell_length_a 4.833
_cell_length_b 4.833
_cell_length_c 4.886
_cell_angle_alpha 80.12
_cell_angle_beta 80.12
_cell_angle_gamma 33.93
loop_
_symmetry_equiv_pos_as_xyz
'x,y,z'
loop_
_atom_site_label
_atom_site_type_symbol
_atom_site_fract_x
_atom_site_fract_y
_atom_site_fract_z
Cd1 Cd 0.498 0.498 0.492
Co1 Co 0.743 0.743 0.784
Pt1 Pt 0.005 0.005 0.977
Pt2 Pt 0.254 0.254 0.247
# Calculated volume (Å³ per cell): 62.7
# Crystal system: monoclinic
# Total moment (Bohr magnetons per cell): 2.1
# Space-group type: Cm (8)
# Energy of formation from the pure elements (eV/atom): -0.055



Record 10
# AsPbClO2 | Alexandria | GGA-PBE | relaxed
data_AsPbClO2
_symmetry_space_group_name_H-M 'P 1'
_symmetry_Int_Tables_number 1
_cell_length_a 4.136
_cell_length_b 7.412
_cell_length_c 7.170
_cell_angle_alpha 103.17
_cell_angle_beta 90.00
_cell_angle_gamma 90.00
loop_
_symmetry_equiv_pos_as_xyz
'x,y,z'
loop_
_atom_site_label
_atom_site_type_symbol
_atom_site_fract_x
_atom_site_fract_y
_atom_site_fract_z
As1 As 0.250 0.627 0.421
As2 As 0.750 0.373 0.579
Pb1 Pb 0.250 0.707 0.943
Pb2 Pb 0.750 0.293 0.057
Cl1 Cl 0.250 0.094 0.809
Cl2 Cl 0.750 0.906 0.191
O1 O 0.750 0.566 0.452
O2 O 0.250 0.434 0.548
O3 O 0.750 0.493 0.829
O4 O 0.250 0.507 0.171
# Raw formation energy (eV per atom): -1.19
# Calculated volume (Å³ per cell): 214.1
# Crystal system: monoclinic
# Total moment (Bohr magnetons per cell): 0.0
# Space-group type: P2_1/m (11)



Record 11
# TmScGaSn | Alexandria | GGA-PBE | relaxed
data_TmScGaSn
_symmetry_space_group_name_H-M 'P 1'
_symmetry_Int_Tables_number 1
_cell_length_a 5.048
_cell_length_b 5.048
_cell_length_c 5.048
_cell_angle_alpha 60.00
_cell_angle_beta 60.00
_cell_angle_gamma 60.00
loop_
_symmetry_equiv_pos_as_xyz
'x,y,z'
loop_
_atom_site_label
_atom_site_type_symbol
_atom_site_fract_x
_atom_site_fract_y
_atom_site_fract_z
Sc1 Sc 0.500 0.500 0.500
Tm1 Tm 0.000 0.000 0.000
Sn1 Sn 0.250 0.250 0.250
Ga1 Ga 0.750 0.750 0.750
# Calculated volume (Å³ per cell): 91.0
# Crystal system: cubic
# Total moment (Bohr magnetons per cell): 0.0
# Space-group type: F-43m (216)
# Energy of formation from the pure elements (eV/atom): -0.492



Record 12
# Mg4Hg3Pt | Alexandria | GGA-PBE | relaxed
data_Mg4Hg3Pt
_symmetry_space_group_name_H-M 'P 1'
_symmetry_Int_Tables_number 1
_cell_length_a 3.303
_cell_length_b 3.303
_cell_length_c 14.578
_cell_angle_alpha 90.00
_cell_angle_beta 90.00
_cell_angle_gamma 90.00
loop_
_symmetry_equiv_pos_as_xyz
'x,y,z'
loop_
_atom_site_label
_atom_site_type_symbol
_atom_site_fract_x
_atom_site_fract_y
_atom_site_fract_z
Mg1 Mg 0.000 0.000 0.899
Mg2 Mg 0.000 0.000 0.101
Mg3 Mg 0.000 0.000 0.366
Mg4 Mg 0.000 0.000 0.634
Hg1 Hg 0.500 0.500 0.234
Hg2 Hg 0.500 0.500 0.500
Hg3 Hg 0.500 0.500 0.766
Pt1 Pt 0.500 0.500 0.000
# Calculated volume (Å³ per cell): 159.0
# Crystal system: tetragonal
# Total moment (Bohr magnetons per cell): 0.0
# Space-group type: P4/mmm (123)
# Energy of formation from the pure elements (eV/atom): -0.387